Below is a relaxed structure of La7Pr2Sm2, with properties calculated at the GGA-PBE level.

a b c (Å): 10.740 10.740 3.763
angles (deg): 96.01 96.01 68.30
Atoms (fractional coordinates):
La 0.000 0.000 0.000
La 0.084 0.586 0.819
La 0.399 0.399 0.249
La 0.414 0.916 0.181
La 0.586 0.084 0.819
La 0.601 0.601 0.751
La 0.916 0.414 0.181
Pr 0.206 0.206 0.666
Pr 0.794 0.794 0.334
Sm 0.252 0.748 0.500
Sm 0.748 0.252 0.500

Summary:
- ΔE_f (eV/atom) = 0.0871
- space group = C2/m
- relative energy among the computed polymorphs (meV/atom) = 0
- spin magnetization (μB per formula unit) = 0.0
- V (Å³ per atom) = 36.372